# DyThZnIr

An optimized crystal structure of DyThZnIr (PBE, the Alexandria database).

## Properties
Density of states at the Fermi level ... 0.88 states/eV per atom
E_form ... -525 meV per atom
E ... -6.064 eV per atom

Unit cell a=5.037 b=5.037 c=5.037 alpha=60.00 beta=60.00 gamma=60.00
Sites, in units of the cell vectors:
Ir1 0.500 0.500 0.500
Zn1 0.000 0.000 0.000
Dy1 0.750 0.750 0.750
Th1 0.250 0.250 0.250